1.
First-principles (PBE-GGA) data for a relaxed La6Al2Au crystal, as listed in the Alexandria database.

Unit cell a=9.0586 b=9.0586 c=3.8365 alpha=90.00 beta=90.00 gamma=120.00
Fractional coordinates of all 9 atoms:
La1 0.0000 0.3991 0.0000
La2 0.0000 0.7296 0.5000
La3 0.2704 0.2704 0.5000
La4 0.3991 0.0000 0.0000
La5 0.6009 0.6009 0.0000
La6 0.7296 0.0000 0.5000
Al1 0.3333 0.6667 0.5000
Al2 0.6667 0.3333 0.5000
Au1 0.0000 0.0000 0.0000

Values from the calculation:
symmetry: P-62m

---

2.
First-principles (PBE-GGA) data for a relaxed La4AlAu3 crystal, as listed in the Alexandria database.

Unit cell a=4.0323 b=4.7748 c=11.7037 alpha=90.00 beta=90.00 gamma=90.00
Fractional coordinates of all 8 atoms:
La1 0.0000 0.0000 0.0000
La2 0.0000 0.5000 0.2737
La3 0.5000 0.0000 0.4970
La4 0.5000 0.5000 0.7818
Al1 0.0000 0.0000 0.7128
Au1 0.0000 0.5000 0.5616
Au2 0.5000 0.0000 0.2238
Au3 0.5000 0.5000 0.0560

Values from the calculation:
symmetry: Pmm2

---

3.
First-principles (PBE-GGA) data for a relaxed LaAl2Au crystal, as listed in the Alexandria database.

Unit cell a=4.8701 b=4.8701 c=17.6912 alpha=90.00 beta=90.00 gamma=90.00
Fractional coordinates of all 16 atoms:
La1 0.0000 0.0000 0.0000
La2 0.0000 0.5000 0.2500
La3 0.5000 0.0000 0.7500
La4 0.5000 0.5000 0.5000
Al1 0.0667 0.2500 0.6250
Al2 0.2500 0.5667 0.8750
Al3 0.2500 0.9333 0.3750
Al4 0.4333 0.2500 0.1250
Al5 0.5667 0.7500 0.1250
Al6 0.7500 0.0667 0.3750
Al7 0.7500 0.4333 0.8750
Al8 0.9333 0.7500 0.6250
Au1 0.0000 0.0000 0.5000
Au2 0.0000 0.5000 0.7500
Au3 0.5000 0.0000 0.2500
Au4 0.5000 0.5000 0.0000

Values from the calculation:
symmetry: I-42d

---

4.
First-principles (PBE-GGA) data for a relaxed La3Al8Au3 crystal, as listed in the Alexandria database.

Unit cell a=8.5217 b=8.5217 c=9.5169 alpha=123.85 beta=123.85 gamma=31.14
Fractional coordinates of all 14 atoms:
La1 0.0000 0.0000 0.0000
La2 0.2933 0.2933 0.2875
La3 0.7067 0.7067 0.7125
Al1 0.1352 0.1352 0.8516
Al2 0.1482 0.1482 0.4307
Al3 0.3437 0.3437 0.9775
Al4 0.4983 0.4983 0.6840
Al5 0.5017 0.5017 0.3160
Al6 0.6563 0.6563 0.0225
Al7 0.8518 0.8518 0.5693
Al8 0.8648 0.8648 0.1484
Au1 0.0000 0.0000 0.5000
Au2 0.3480 0.3480 0.7049
Au3 0.6520 0.6520 0.2951

Values from the calculation:
energy relative to the lowest polymorph listed for this composition: 0 meV/atom
symmetry: C2/m

---

no.,magnetization (μB per formula unit),density of states at the Fermi level (states/eV per cell),energy of formation from the pure elements (eV/atom)
1,0.0,12.60,-0.33
2,0.0,8.12,-0.68
3,0.0,7.98,-0.32
4,0.0,5.57,-0.57